1.
Here is a PBEsol-optimized structure of Tm2Se3 from the Alexandria database. Energies are from meta-GGA SCAN.

Computed properties:
total DFT energy (no corrections)	-2790.38	eV for the cell shown

a = 7.9865 Å, b = 11.2034 Å, c = 23.8183 Å
α = 90.00°, β = 90.00°, γ = 90.00°
Closest atoms and distances in Å follow each position.
Space group Fddd (No. 70, origin choice 2)
Inequivalent atoms, fractional coordinates:
Tm: 0.1250 0.1250 0.0412 [16 per cell]  6 Se 2.79-2.80
Tm: 0.1250 0.1250 0.3772 [16 per cell]  6 Se 2.79-2.80
Se: 0.1196 0.3738 0.2068 [32 per cell]  4 Tm 2.79-2.80
Se: 0.1210 0.3750 0.3750 [16 per cell]  4 Tm 2.80

2.
Here is a PBEsol-optimized structure of EuSb2S4 from the Alexandria database. Energies are from meta-GGA SCAN.

Computed properties:
total DFT energy (no corrections)	-690.68	eV for the cell shown

a = 11.3956 Å, b = 3.9610 Å, c = 14.0513 Å
α = 90.00°, β = 90.00°, γ = 90.00°
Closest atoms and distances in Å follow each position.
Space group Pnma (No. 62)
Inequivalent atoms, fractional coordinates:
Eu: 0.2247 0.2500 0.1575 [4 per cell]  7 S 2.89-3.07
Sb: 0.0626 0.7500 0.3950 [4 per cell]  3 S 2.51-2.61
Sb: 0.1198 0.7500 0.9166 [4 per cell]  4 S 2.59-2.78
S: 0.0136 0.7500 0.7094 [4 per cell]  2 Sb 2.61
S: 0.0516 0.7500 0.0925 [4 per cell]  3 Sb 2.59-2.78
S: 0.1832 0.2500 0.5167 [4 per cell]  3 Sb 2.65-2.96
S: 0.2464 0.2500 0.8056 [4 per cell]  1 Sb 2.51

3.
Here is a PBEsol-optimized structure of SiSe2Br from the Alexandria database. Energies are from meta-GGA SCAN.

Computed properties:
total DFT energy (no corrections)	-67.77	eV for the cell shown
energy relative to the lowest polymorph listed for this composition	19	meV/atom

a = 3.8474 Å, b = 3.8474 Å, c = 5.7300 Å
α = 90.00°, β = 90.00°, γ = 90.00°
Closest atoms and distances in Å follow each position.
Space group P4/mmm (No. 123)
Inequivalent atoms, fractional coordinates:
Si: 0.0000 0.0000 0.0000 [1 per cell]  4 Br 2.72
Se: 0.0000 0.5000 0.5000 [2 per cell]  4 Se 2.72
Br: 0.5000 0.5000 0.0000 [1 per cell]  4 Si 2.72

4.
Here is a PBEsol-optimized structure of N from the Alexandria database. Energies are from meta-GGA SCAN.

Computed properties:
total DFT energy (no corrections)	-11.14	eV for the cell shown
energy relative to the lowest polymorph listed for this composition	3720	meV/atom

a = 2.5326 Å, b = 2.5326 Å, c = 2.4270 Å
α = 90.00°, β = 90.00°, γ = 120.00°
Closest atoms and distances in Å follow each position.
Space group P6_3/mmc (No. 194)
Inequivalent atoms, fractional coordinates:
N: 0.3333 0.6667 0.2500 [2 per cell]  6 N 1.90

5.
Here is a PBEsol-optimized structure of Rb2NaNdBr6 from the Alexandria database. Energies are from meta-GGA SCAN.

Computed properties:
total DFT energy (no corrections)	-903.30	eV for the cell shown

a = 11.3314 Å, b = 11.3314 Å, c = 11.3314 Å
α = 90.00°, β = 90.00°, γ = 90.00°
Closest atoms and distances in Å follow each position.
Space group Fm-3m (No. 225)
Inequivalent atoms, fractional coordinates:
Rb: 0.2500 0.2500 0.2500 [8 per cell]  12 Br 4.01
Na: 0.0000 0.0000 0.0000 [4 per cell]  6 Br 2.83
Nd: 0.0000 0.0000 0.5000 [4 per cell]  6 Br 2.84
Br: 0.0000 0.0000 0.2498 [24 per cell]  1 Na 2.83, 1 Nd 2.84

6.
Here is a PBEsol-optimized structure of LiCaAl3N4 from the Alexandria database. Energies are from meta-GGA SCAN.

Computed properties:
total DFT energy (no corrections)	-1368.04	eV for the cell shown

a = 11.1389 Å, b = 11.1389 Å, c = 12.8238 Å
α = 90.00°, β = 90.00°, γ = 90.00°
Closest atoms and distances in Å follow each position.
Space group I4_1/a (No. 88, origin choice 2)
Inequivalent atoms, fractional coordinates:
Li: 0.0157 0.1033 0.3160 [16 per cell]  3 N 1.97-2.08
Ca: 0.2324 0.4949 0.8146 [16 per cell]  6 N 2.53-2.83
Al: 0.0206 0.0907 0.0589 [16 per cell]  4 N 1.84-1.95
Al: 0.0221 0.0856 0.5662 [16 per cell]  4 N 1.87-1.92
Al: 0.0329 0.0800 0.8089 [16 per cell]  4 N 1.86-1.93
N: 0.0622 0.4206 0.9315 [16 per cell]  3 Al 1.88-1.95, 1 Li 1.97
N: 0.0662 0.4079 0.6909 [16 per cell]  3 Al 1.87-1.88
N: 0.0786 0.4137 0.1784 [16 per cell]  3 Al 1.84-1.93
N: 0.0844 0.4256 0.4502 [16 per cell]  3 Al 1.86-1.92, 1 Li 2.08

What is the total DFT energy (no corrections) in the second record?
-690.68 eV for the cell shown